Entry from OQMD: a relaxed ZrFePtPb crystal (PBE).

The total energy is -26.81 eV/cell. Its distance to the lowest polymorph of the same formula is 0.135 eV/atom.

Structure (POSCAR):
```
ZrFePtPb
1.0
0.000 3.304 3.304
3.304 0.000 3.304
3.304 3.304 0.000
Fe Pb Pt Zr
1 1 1 1
Cartesian
4.956 4.956 4.956
0.000 0.000 0.000
3.304 3.304 3.304
1.652 1.652 1.652
```